{"formula": "Th2Pd6Au3", "functional": "PBE", "state": "optimized geometry", "cell": [[-1.927, 1.927, 15.389], [1.927, -1.927, 15.389], [1.927, 1.927, -15.389]], "species": ["Th", "Th", "Pd", "Pd", "Pd", "Pd", "Pd", "Pd", "Au", "Au", "Au"], "fractional_positions": [[0.135, 0.135, 0.000], [0.865, 0.865, 0.000], [0.066, 0.566, 0.500], [0.225, 0.225, 0.000], [0.434, 0.934, 0.500], [0.566, 0.066, 0.500], [0.775, 0.775, 0.000], [0.934, 0.434, 0.500], [0.314, 0.314, 0.000], [0.500, 0.500, 0.000], [0.686, 0.686, 0.000]], "crystal_system": "tetragonal", "formation_enthalpy_0k_ev_per_atom": -0.392, "dft_energy_ha_per_atom": -0.2009}